DFT (PBE) results for Ga3FeIr6 after structural relaxation.

Calculated values
For the spin magnetization, the calculation gives 3.25 μB/f.u. Its formation energy from the elements is -132 meV per atom. The density of states at the Fermi level is 16.6 states/eV/cell. Its calculated density is 16.42 g/cm³. The electronic total energy is -7.20 eV/atom.

Lattice parameters (Å, degrees): 7.3255 4.3870 9.6118 90.00 111.74 90.00
Atoms (fractional coordinates):
1 Ga 0.0461 0.2500 0.3754
2 Ga 0.1333 0.7500 0.2206
3 Ga 0.2815 0.2500 0.9762
4 Ga 0.7185 0.7500 0.0238
5 Ga 0.8667 0.2500 0.7794
6 Ga 0.9539 0.7500 0.6246
7 Fe 0.4581 0.2500 0.5738
8 Fe 0.5419 0.7500 0.4262
9 Ir 0.0383 0.7500 0.9220
10 Ir 0.1691 0.2500 0.6718
11 Ir 0.2436 0.7500 0.5151
12 Ir 0.3479 0.7500 0.8300
13 Ir 0.3600 0.2500 0.2906
14 Ir 0.4251 0.7500 0.1359
15 Ir 0.5749 0.2500 0.8641
16 Ir 0.6400 0.7500 0.7094
17 Ir 0.6521 0.2500 0.1700
18 Ir 0.7564 0.2500 0.4849
19 Ir 0.8309 0.7500 0.3282
20 Ir 0.9617 0.2500 0.0780